No. 1
The following is a PBE-GGA calculation of a geometry-optimized NaCoRu structure, from Alexandria.

energy of formation from the pure elements	0.544	eV/atom
spin magnetization	1.660	μB/f.u.
E above lowest polymorph	43	kJ/mol of formula units
N(E_F)	7.12	states/eV/cell
DFT total energy	-5.36	eV per atom

abc: 4.7046 4.2467 5.6884
angles: 90.00 109.51 90.00
Last column: nearest neighbours and their distance in Å.
Fractional coordinates of all 6 atoms:
Na: 0.2330 0.2500 0.0169  4 Co 2.94-3.19, 2 Na 3.01, 4 Ru 3.12-3.24
Na: 0.7670 0.7500 0.9831  4 Co 2.94-3.19, 2 Na 3.01, 4 Ru 3.12-3.24
Co: 0.4295 0.2500 0.5639  4 Ru 2.40-2.54, 2 Co 2.41
Co: 0.5705 0.7500 0.4361  4 Ru 2.40-2.54, 2 Co 2.41
Ru: 0.1351 0.7500 0.5668  4 Co 2.40-2.54, 2 Ru 2.46
Ru: 0.8649 0.2500 0.4332  4 Co 2.40-2.54, 2 Ru 2.46

No. 2
The following is a PBE-GGA calculation of a geometry-optimized LaTh2Cu structure, from Alexandria.

energy of formation from the pure elements	0.113	eV/atom
spin magnetization	0.001	μB/f.u.
E above lowest polymorph	39	kJ/mol of formula units
N(E_F)	5.69	states/eV/cell
DFT total energy	-5.85	eV per atom

abc: 10.4407 10.4407 10.4407
angles: 20.13 20.13 20.13
Last column: nearest neighbours and their distance in Å.
Fractional coordinates of all 4 atoms:
La: 0.0000 0.0000 0.0000  6 La 3.65, 6 Th 3.67-3.71
Th: 0.5688 0.5688 0.5688  3 Cu 2.95
Th: 0.7662 0.7662 0.7662  3 Cu 2.98
Cu: 0.1682 0.1682 0.1682  6 Th 2.95-2.98

No. 3
The following is a PBE-GGA calculation of a geometry-optimized TmAlRh structure, from Alexandria.

energy of formation from the pure elements	-0.761	eV/atom
spin magnetization	0.000	μB/f.u.
N(E_F)	2.08	states/eV/cell
DFT total energy	-5.95	eV per atom

abc: 5.8796 5.8796 5.8796
angles: 148.48 148.48 45.18
Last column: nearest neighbours and their distance in Å.
Fractional coordinates of all 3 atoms:
Tm: 0.0000 0.0000 0.0000  4 Rh 2.94, 5 Al 3.15-3.21, 4 Tm 3.19
Al: 0.7098 0.7098 0.0000  4 Rh 2.59
Rh: 0.3261 0.3261 0.0000  4 Al 2.59

- Which value of spin magnetization does entry 2 give?
  0.001 μB/f.u.

- Which of these has the highest DFT total energy?
  NaCoRu